Here is crystalline Er4GaCuAg2 at its relaxed geometry from Alexandria via LeMat-Bulk. Energies are from GGA-PBE.

Cell lengths 8.7199, 8.7199, 8.7199 Å; angles 33.49, 33.49, 33.49 degrees
Atoms (fractional coordinates):
Er 0.1223 0.1223 0.1223
Er 0.3726 0.3726 0.3726
Er 0.6274 0.6274 0.6274
Er 0.8777 0.8777 0.8777
Ga 0.5000 0.5000 0.5000
Cu 0.0000 0.0000 0.0000
Ag 0.2480 0.2480 0.2480
Ag 0.7520 0.7520 0.7520

The symmetry is R-3m (166). The calculation puts the formation enthalpy at 0 K at -0.373 eV/atom. The calculation puts the total DFT energy (no corrections) at -4.26 eV per atom. The calculation puts the density of states at the Fermi level at 4.87 states/eV/cell.

=====

Here is crystalline ErGa3CuAg at its relaxed geometry from Alexandria via LeMat-Bulk. Energies are from GGA-PBE.

Cell lengths 6.8163, 6.8163, 6.4590 Å; angles 90.00, 90.00, 130.08 degrees
Atoms (fractional coordinates):
Er 0.1954 0.8046 0.7500
Er 0.8046 0.1954 0.2500
Ga 0.2235 0.2235 0.0000
Ga 0.2235 0.2235 0.5000
Ga 0.3706 0.6294 0.2500
Ga 0.6294 0.3706 0.7500
Ga 0.7765 0.7765 0.0000
Ga 0.7765 0.7765 0.5000
Cu 0.4150 0.5850 0.7500
Cu 0.5850 0.4150 0.2500
Ag 0.1584 0.8416 0.2500
Ag 0.8416 0.1584 0.7500

The symmetry is Cmcm (63). The calculation puts the formation enthalpy at 0 K at -0.135 eV/atom. The calculation puts the total DFT energy (no corrections) at -3.57 eV per atom. The calculation puts the density of states at the Fermi level at 4.84 states/eV/cell.

=====

Here is crystalline Er2Ga3Cu12Ag at its relaxed geometry from Alexandria via LeMat-Bulk. Energies are from GGA-PBE.

Cell lengths 6.5430, 6.5430, 6.5430 Å; angles 85.51, 85.51, 85.51 degrees
Atoms (fractional coordinates):
Er 0.2056 0.2056 0.2056
Er 0.7944 0.7944 0.7944
Ga 0.0000 0.5000 0.5000
Ga 0.5000 0.0000 0.5000
Ga 0.5000 0.5000 0.0000
Cu 0.0851 0.0851 0.6336
Cu 0.0851 0.6336 0.0851
Cu 0.2080 0.7008 0.7008
Cu 0.2992 0.2992 0.7920
Cu 0.2992 0.7920 0.2992
Cu 0.3664 0.9149 0.9149
Cu 0.6336 0.0851 0.0851
Cu 0.7008 0.2080 0.7008
Cu 0.7008 0.7008 0.2080
Cu 0.7920 0.2992 0.2992
Cu 0.9149 0.3664 0.9149
Cu 0.9149 0.9149 0.3664
Ag 0.5000 0.5000 0.5000

The symmetry is R-3m (166). The calculation puts the formation enthalpy at 0 K at 0.008 eV/atom. The calculation puts the total DFT energy (no corrections) at -3.89 eV per atom. The calculation puts the density of states at the Fermi level at 5.48 states/eV/cell.

=====

Which value of total DFT energy (no corrections) does entry 1 give?
-4.26 eV per atom

=====

What is the total DFT energy (no corrections) in the third record?
-3.89 eV per atom